NpBiS3 (GGA-PBE, optimized geometry); energy relative to the lowest polymorph listed for this composition = 64 meV per atom; magnetic moment = 0.61 μB/atom; calculated volume = 136 Å³/f.u.; E_form (uncorrected) = -0.77 eV per atom
1.0
6.587 0.000 0.000
0.000 4.018 0.000
-2.418 0.000 10.289
Np Bi S
2 2 6
direct
0.228 0.250 0.423
0.772 0.750 0.577
0.218 0.250 0.920
0.782 0.750 0.080
0.058 0.250 0.633
0.089 0.250 0.141
0.457 0.750 0.365
0.543 0.250 0.635
0.911 0.750 0.859
0.942 0.750 0.367